A plane-wave DFT calculation with PBEsol was carried out for a relaxed Nb2Br5 crystal.

Summary:
E_form (uncorrected) = -0.8333 eV/atom
total magnetic moment = 0.000 μB/cell

abc: 5.946 8.644 8.644
angles: 105.84 90.00 90.00
Fractional positions:
Nb 0.000 0.864 0.864
Nb 0.500 0.864 0.864
Nb 0.500 0.136 0.136
Nb 0.000 0.136 0.136
Br 0.750 0.024 0.332
Br 0.750 0.396 0.246
Br 0.250 0.876 0.124
Br 0.750 0.124 0.876
Br 0.250 0.246 0.396
Br 0.750 0.754 0.604
Br 0.250 0.332 0.024
Br 0.250 0.604 0.754
Br 0.750 0.668 0.976
Br 0.250 0.976 0.668


A plane-wave DFT calculation with PBEsol was carried out for a relaxed NbSbRuPb2 crystal.

Summary:
E_form (uncorrected) = 1.3982 eV/atom
total magnetic moment = 3.245 μB/cell

abc: 5.208 5.372 5.372
angles: 90.00 90.00 90.00
Each line ends with the local moment (μB).
Fractional positions:
Pb 0.000 0.000 0.500  0.02
Pb 0.000 0.500 0.000  0.02
Sb 0.500 0.000 0.000  -0.01
Nb 0.000 0.000 0.000  0.44
Ru 0.500 0.500 0.500  2.37


A plane-wave DFT calculation with PBEsol was carried out for a relaxed ErMgSn crystal.

Summary:
ΔE_f = -0.585 eV per atom
total magnetic moment = 0.000 μB/cell

abc: 4.313 4.313 8.397
angles: 104.88 104.88 90.00
Fractional positions:
Mg 0.000 0.500 0.000
Mg 0.500 0.000 0.000
Sn 0.863 0.863 0.725
Sn 0.137 0.137 0.275
Er 0.332 0.332 0.665
Er 0.668 0.668 0.335


A plane-wave DFT calculation with PBEsol was carried out for a relaxed Na3Ga3Te2O12 crystal.

Summary:
E_form (uncorrected) = -1.6047 eV/atom
total magnetic moment = 0.000 μB/cell

abc: 10.739 10.739 10.739
angles: 109.47 109.47 109.47
Fractional positions:
Na 0.625 0.750 0.375
Na 0.125 0.375 0.750
Na 0.375 0.250 0.625
Na 0.750 0.875 0.125
Na 0.875 0.625 0.250
Na 0.625 0.875 0.750
Na 0.250 0.125 0.875
Na 0.125 0.750 0.875
Na 0.750 0.375 0.625
Na 0.250 0.625 0.375
Na 0.375 0.125 0.250
Na 0.875 0.250 0.125
Ga 0.625 0.375 0.250
Ga 0.750 0.125 0.375
Ga 0.375 0.750 0.125
Ga 0.750 0.625 0.875
Ga 0.875 0.750 0.625
Ga 0.250 0.375 0.125
Ga 0.250 0.875 0.625
Ga 0.125 0.875 0.250
Ga 0.875 0.125 0.750
Ga 0.625 0.250 0.875
Ga 0.125 0.250 0.375
Ga 0.375 0.625 0.750
Te 0.000 0.500 0.500
Te 0.500 0.000 0.000
Te 0.000 0.000 0.000
Te 0.500 0.500 0.500
Te 0.500 0.500 0.000
Te 0.000 0.500 0.000
Te 0.500 0.000 0.500
Te 0.000 0.000 0.500
O 0.078 0.676 0.193
O 0.885 0.078 0.902
O 0.517 0.693 0.115
O 0.922 0.324 0.807
O 0.324 0.017 0.402
O 0.902 0.578 0.885
O 0.176 0.598 0.983
O 0.824 0.422 0.307
O 0.402 0.517 0.324
O 0.422 0.807 0.324
O 0.615 0.517 0.193
O 0.193 0.176 0.078
O 0.885 0.807 0.483
O 0.385 0.483 0.807
O 0.176 0.578 0.693
O 0.402 0.885 0.578
O 0.824 0.402 0.017
O 0.078 0.402 0.385
O 0.098 0.676 0.483
O 0.693 0.615 0.017
O 0.693 0.078 0.176
O 0.807 0.824 0.922
O 0.483 0.176 0.098
O 0.422 0.615 0.598
O 0.902 0.324 0.517
O 0.115 0.193 0.517
O 0.307 0.385 0.983
O 0.598 0.115 0.422
O 0.578 0.385 0.402
O 0.807 0.983 0.385
O 0.598 0.483 0.676
O 0.385 0.902 0.078
O 0.676 0.983 0.598
O 0.983 0.885 0.307
O 0.324 0.307 0.422
O 0.017 0.115 0.693
O 0.983 0.098 0.176
O 0.115 0.922 0.098
O 0.517 0.824 0.902
O 0.193 0.017 0.615
O 0.578 0.193 0.676
O 0.307 0.922 0.824
O 0.098 0.422 0.115
O 0.922 0.598 0.615
O 0.615 0.098 0.922
O 0.483 0.307 0.885
O 0.017 0.902 0.824
O 0.676 0.693 0.578


A plane-wave DFT calculation with PBEsol was carried out for a relaxed NbSiS3 crystal.

Summary:
E_form (uncorrected) = 0.1928 eV/atom
total magnetic moment = 2.164 μB/cell

abc: 4.405 4.405 4.405
angles: 90.00 90.00 90.00
Each line ends with the local moment (μB).
Fractional positions:
Nb 0.500 0.500 0.500  1.99
Si 0.000 0.000 0.000  0.03
S 0.000 0.500 0.000  -0.10
S 0.000 0.000 0.500  -0.10
S 0.500 0.000 0.000  -0.10


A plane-wave DFT calculation with PBEsol was carried out for a relaxed ScBe3Tc crystal.

Summary:
ΔE_f = 0.328 eV per atom
total magnetic moment = 0.000 μB/cell

abc: 4.154 4.154 4.154
angles: 90.00 90.00 90.00
Fractional positions:
Sc 0.500 0.500 0.500
Be 0.000 0.500 0.000
Be 0.000 0.000 0.500
Be 0.500 0.000 0.000
Tc 0.000 0.000 0.000


A plane-wave DFT calculation with PBEsol was carried out for a relaxed TiCdGa2H crystal.

Summary:
total DFT energy (no corrections) = -3.394 eV per atom
total magnetic moment = 0.600 μB/cell

abc: 3.213 5.169 5.169
angles: 90.00 90.00 90.00
Each line ends with the local moment (μB).
Fractional positions:
H 0.500 0.000 0.000  0.00
Ti 0.500 0.500 0.500  0.51
Ga 0.000 0.000 0.500  -0.01
Ga 0.000 0.500 0.000  -0.01
Cd 0.000 0.000 0.000  0.00


A plane-wave DFT calculation with PBEsol was carried out for a relaxed LaMn2Se crystal.

Summary:
E_form (uncorrected) = -0.0016 eV/atom
total magnetic moment = 1.542 μB/cell

abc: 4.032 4.307 4.566
angles: 90.00 90.00 90.00
Each line ends with the local moment (μB).
Fractional positions:
La 0.500 0.500 0.500  -0.03
Mn 0.000 0.000 0.716  0.76
Mn 0.000 0.000 0.284  0.76
Se 0.500 0.000 0.000  -0.01


Number 1: Fermi-level density of states 0.08 states/eV/atom. Number 2: Fermi-level density of states 1.10 states/eV/atom. Number 3: Fermi-level density of states 0.35 states/eV/atom. Number 4: Fermi-level density of states 0.00 states/eV/atom. Number 5: Fermi-level density of states 0.38 states/eV/atom. Number 6: Fermi-level density of states 0.32 states/eV/atom. Number 7: Fermi-level density of states 0.58 states/eV/atom. Number 8: Fermi-level density of states 1.10 states/eV/atom.